1.
As2RhWBr | the Alexandria database | PBE | optimized geometry; relative energy among the computed polymorphs = 243 meV/atom; uncorrected formation energy = 1.260 eV per atom; raw total energy = -0.184 Ha/atom
1.0
4.741 0.000 0.000
0.000 4.741 0.000
0.000 0.000 5.034
As Rh Br W
2 1 1 1
direct
0.000 0.500 0.000
0.500 0.000 0.000
0.000 0.000 0.000
0.000 0.000 0.500
0.500 0.500 0.500

=====

2.
Ba2CrSb | the Alexandria database | PBE | optimized geometry; uncorrected formation energy = -0.242 eV per atom; raw total energy = -0.171 Ha/atom
1.0
-4.735 0.083 -1.192
-1.201 -1.082 4.695
-0.839 5.732 3.729
Ba Cr Sb
2 1 1
direct
0.000 0.987 0.901
0.500 0.267 0.340
0.000 0.685 0.504
0.500 0.560 0.755

=====

3.
La2Tb3SmS6 | the Alexandria database | PBE | optimized geometry; uncorrected formation energy = -2.066 eV per atom; raw total energy = -0.239 Ha/atom
1.0
-3.754 -0.906 0.982
1.987 -7.855 0.349
3.302 3.380 7.657
La Tb Sm S
2 3 1 6
direct
0.834 0.667 0.668
0.166 0.333 0.332
0.500 0.500 0.000
0.833 0.166 0.665
0.167 0.834 0.335
0.500 0.000 0.000
0.332 0.929 0.664
0.663 0.594 0.325
0.668 0.071 0.336
0.995 0.253 0.991
0.005 0.747 0.009
0.337 0.406 0.675